## P
{
  "formula": "Tl2HgS2",
  "functional": "GGA-PBE",
  "state": "relaxed",
  "mass_density_g_cm3": 8.21,
  "m_tot_mub_per_atom": 0.000,
  "lattice_angstrom": [[7.754, 0.000, 0.000], [0.000, 7.754, 0.000], [0.000, 0.000, 4.533]],
  "species": ["Tl", "Tl", "Tl", "Tl", "Hg", "Hg", "S", "S", "S", "S"],
  "fractional_positions": [[0.142, 0.358, 0.000], [0.358, 0.858, 0.000], [0.642, 0.142, 0.000], [0.858, 0.642, 0.000], [0.000, 0.000, 0.500], [0.500, 0.500, 0.500], [0.182, 0.682, 0.500], [0.318, 0.182, 0.500], [0.682, 0.818, 0.500], [0.818, 0.318, 0.500]]
}

***

## Q
{
  "formula": "Tl2HgS2",
  "functional": "GGA-PBE",
  "state": "relaxed",
  "mass_density_g_cm3": 6.87,
  "m_tot_mub_per_atom": 0.000,
  "lattice_angstrom": [[4.126, -5.984, 0.000], [4.126, 5.984, 0.000], [-4.075, 0.000, 6.598]],
  "species": ["Tl", "Tl", "Tl", "Tl", "Hg", "Hg", "S", "S", "S", "S"],
  "fractional_positions": [[0.080, 0.920, 0.750], [0.324, 0.676, 0.250], [0.676, 0.324, 0.750], [0.920, 0.080, 0.250], [0.379, 0.621, 0.750], [0.621, 0.379, 0.250], [0.094, 0.339, 0.753], [0.339, 0.094, 0.253], [0.661, 0.906, 0.747], [0.906, 0.661, 0.247]]
}

***

Which of them is the most stable, and which is the least stable? Q and P, in that order.

***

## P
{
  "formula": "Tl2HgS2",
  "functional": "GGA-PBE",
  "state": "relaxed",
  "mass_density_g_cm3": 8.19,
  "m_tot_mub_per_atom": 0.000,
  "lattice_angstrom": [[5.148, 0.000, 0.000], [0.000, 5.148, 0.000], [0.000, 0.000, 10.298]],
  "species": ["Tl", "Tl", "Tl", "Tl", "Hg", "Hg", "S", "S", "S", "S"],
  "fractional_positions": [[0.000, 0.000, 0.144], [0.000, 0.000, 0.856], [0.500, 0.500, 0.356], [0.500, 0.500, 0.644], [0.000, 0.000, 0.500], [0.500, 0.500, 0.000], [0.000, 0.500, 0.250], [0.000, 0.500, 0.750], [0.500, 0.000, 0.250], [0.500, 0.000, 0.750]]
}

***

## Q
{
  "formula": "Tl2HgS2",
  "functional": "GGA-PBE",
  "state": "relaxed",
  "mass_density_g_cm3": 6.99,
  "m_tot_mub_per_atom": 0.000,
  "lattice_angstrom": [[8.291, 0.000, 0.000], [0.000, 6.554, 0.000], [0.000, 0.000, 11.780]],
  "species": ["Tl", "Tl", "Tl", "Tl", "Tl", "Tl", "Tl", "Tl", "Hg", "Hg", "Hg", "Hg", "S", "S", "S", "S", "S", "S", "S", "S"],
  "fractional_positions": [[0.011, 0.250, 0.203], [0.166, 0.250, 0.550], [0.334, 0.750, 0.050], [0.489, 0.750, 0.703], [0.511, 0.250, 0.297], [0.666, 0.250, 0.950], [0.834, 0.750, 0.450], [0.989, 0.750, 0.797], [0.152, 0.250, 0.898], [0.348, 0.750, 0.398], [0.652, 0.250, 0.602], [0.848, 0.750, 0.102], [0.038, 0.750, 0.251], [0.189, 0.750, 0.565], [0.311, 0.250, 0.065], [0.462, 0.250, 0.751], [0.538, 0.750, 0.249], [0.689, 0.750, 0.935], [0.811, 0.250, 0.435], [0.962, 0.250, 0.749]]
}

***

## R
{
  "formula": "Tl2HgS2",
  "functional": "GGA-PBE",
  "state": "relaxed",
  "mass_density_g_cm3": 8.91,
  "m_tot_mub_per_atom": 0.000,
  "lattice_angstrom": [[8.220, 0.000, 0.000], [0.000, 8.220, 0.000], [0.000, 0.000, 3.716]],
  "species": ["Tl", "Tl", "Tl", "Tl", "Hg", "Hg", "S", "S", "S", "S"],
  "fractional_positions": [[0.152, 0.348, 0.000], [0.348, 0.848, 0.000], [0.652, 0.152, 0.000], [0.848, 0.652, 0.000], [0.000, 0.000, 0.000], [0.500, 0.500, 0.000], [0.147, 0.647, 0.500], [0.353, 0.147, 0.500], [0.647, 0.853, 0.500], [0.853, 0.353, 0.500]]
}

***

Which of them is the most stable, and which is the least stable? Q and R, in that order.

***

## P
{
  "formula": "Tl2Hg2S",
  "functional": "GGA-PBE",
  "state": "relaxed",
  "mass_density_g_cm3": 8.94,
  "m_tot_mub_per_atom": 0.000,
  "lattice_angstrom": [[7.613, 0.000, 0.000], [0.000, 7.613, 0.000], [0.000, 0.000, 5.395]],
  "species": ["Tl", "Tl", "Tl", "Tl", "Hg", "Hg", "Hg", "Hg", "S", "S"],
  "fractional_positions": [[0.153, 0.347, 0.000], [0.347, 0.847, 0.000], [0.653, 0.153, 0.000], [0.847, 0.653, 0.000], [0.167, 0.667, 0.500], [0.333, 0.167, 0.500], [0.667, 0.833, 0.500], [0.833, 0.333, 0.500], [0.000, 0.000, 0.000], [0.500, 0.500, 0.000]]
}

***

## Q
{
  "formula": "Tl2Hg2S",
  "functional": "GGA-PBE",
  "state": "relaxed",
  "mass_density_g_cm3": 8.33,
  "m_tot_mub_per_atom": 0.000,
  "lattice_angstrom": [[-2.107, 2.107, 18.915], [2.107, -2.107, 18.915], [2.107, 2.107, -18.915]],
  "species": ["Tl", "Tl", "Tl", "Tl", "Hg", "Hg", "Hg", "Hg", "S", "S"],
  "fractional_positions": [[0.076, 0.326, 0.750], [0.326, 0.076, 0.250], [0.674, 0.924, 0.750], [0.924, 0.674, 0.250], [0.218, 0.468, 0.750], [0.468, 0.218, 0.250], [0.532, 0.782, 0.750], [0.782, 0.532, 0.250], [0.125, 0.875, 0.250], [0.875, 0.125, 0.750]]
}

***

Which of them is the most stable, and which is the least stable? Q and P, in that order.

***

## P
{
  "formula": "TlHg3S4",
  "functional": "GGA-PBE",
  "state": "relaxed",
  "mass_density_g_cm3": 6.83,
  "m_tot_mub_per_atom": 0.000,
  "lattice_angstrom": [[6.109, 0.000, 0.000], [0.000, 6.109, 0.000], [0.000, 0.000, 12.180]],
  "species": ["Tl", "Tl", "Hg", "Hg", "Hg", "Hg", "Hg", "Hg", "S", "S", "S", "S", "S", "S", "S", "S"],
  "fractional_positions": [[0.000, 0.000, 0.000], [0.500, 0.500, 0.500], [0.000, 0.000, 0.500], [0.000, 0.500, 0.250], [0.000, 0.500, 0.750], [0.500, 0.000, 0.250], [0.500, 0.000, 0.750], [0.500, 0.500, 0.000], [0.239, 0.239, 0.370], [0.239, 0.761, 0.630], [0.261, 0.261, 0.870], [0.261, 0.739, 0.130], [0.739, 0.261, 0.130], [0.739, 0.739, 0.870], [0.761, 0.239, 0.630], [0.761, 0.761, 0.370]]
}

***

## Q
{
  "formula": "TlHg3S4",
  "functional": "GGA-PBE",
  "state": "relaxed",
  "mass_density_g_cm3": 6.81,
  "m_tot_mub_per_atom": 0.000,
  "lattice_angstrom": [[8.662, 0.000, 0.000], [0.000, 7.504, 0.000], [0.000, 0.000, 7.013]],
  "species": ["Tl", "Tl", "Hg", "Hg", "Hg", "Hg", "Hg", "Hg", "S", "S", "S", "S", "S", "S", "S", "S"],
  "fractional_positions": [[0.000, 0.168, 0.000], [0.500, 0.832, 0.500], [0.000, 0.831, 0.499], [0.250, 0.334, 0.500], [0.250, 0.666, 0.000], [0.500, 0.169, 0.999], [0.750, 0.334, 0.500], [0.750, 0.666, 0.000], [0.000, 0.163, 0.601], [0.000, 0.817, 0.125], [0.238, 0.659, 0.627], [0.262, 0.341, 0.127], [0.500, 0.183, 0.625], [0.500, 0.837, 0.101], [0.738, 0.341, 0.127], [0.762, 0.659, 0.627]]
}

***

Which of them is the most stable, and which is the least stable? P and Q, in that order.